! CoCI3 PBE-GGA optimized geometry; values from VASP
! volume: 27.584 Å³/atom
! calculated total energy: -0.0908 hartree per atom
! space group: No. 221
! energy above the lowest structure with this stoichiometry: 123 meV per atom
! energy relative to the elements, uncorrected: 8.62 eV/f.u.
&SYSTEM
  ibrav = 0, nat = 5, ntyp = 3
/
ATOMIC_SPECIES
Co 58.93 Co.upf
C 12.01 C.upf
I 126.90 I.upf
CELL_PARAMETERS angstrom
5.167 0.000 0.000
0.000 5.167 0.000
0.000 0.000 5.167
ATOMIC_POSITIONS angstrom
Co 0.000 0.000 0.000
C 2.583 2.583 2.583
I 0.000 0.000 2.583
I 0.000 2.583 0.000
I 2.583 0.000 0.000